Record 1
Compound: YCd2GaPd4
Source: Alexandria via LeMat-Bulk
Functional: PBE-GGA
Structure: relaxed

N(E_F) = 0.44 states/eV/atom
E = -110.5 eV for the cell shown

Cell and atoms, written as CIF:
```
data_YCd2GaPd4
_chemical_formula_sum 'Y3 Cd6 Ga3 Pd12'
_cell_length_a 4.6762
_cell_length_b 4.6762
_cell_length_c 22.6585
_cell_angle_alpha 90.00
_cell_angle_beta 90.00
_cell_angle_gamma 120.00
_symmetry_space_group_name_H-M 'R -3 m'
_symmetry_Int_Tables_number 166
_symmetry_space_group_name_Hall '-R 3 2"'
loop_
_atom_site_label
_atom_site_type_symbol
_atom_site_fract_x
_atom_site_fract_y
_atom_site_fract_z
Y1 Y 0.0000 0.0000 0.0000
Cd1 Cd 0.0000 0.0000 0.2530
Ga1 Ga 0.0000 0.0000 0.5000
Pd1 Pd 0.0000 0.0000 0.1303
Pd2 Pd 0.0000 0.0000 0.3881
```

Record 2
Compound: Y2CdGa3Pd4
Source: Alexandria via LeMat-Bulk
Functional: PBE-GGA
Structure: relaxed

N(E_F) = 0.62 states/eV/atom
E = -50.9 eV for the cell shown

Cell and atoms, written as CIF:
```
data_Y2CdGa3Pd4
_chemical_formula_sum 'Y2 Cd1 Ga3 Pd4'
_cell_length_a 4.052
_cell_length_b 4.052
_cell_length_c 11.735
_cell_angle_alpha 90.00
_cell_angle_beta 90.00
_cell_angle_gamma 90.00
_symmetry_space_group_name_H-M 'P -4 m 2'
_symmetry_Int_Tables_number 115
_symmetry_space_group_name_Hall 'P -4 -2'
loop_
_atom_site_label
_atom_site_type_symbol
_atom_site_fract_x
_atom_site_fract_y
_atom_site_fract_z
Y1 Y 0.000 0.500 0.248
Cd1 Cd 0.000 0.000 0.500
Ga1 Ga 0.000 0.500 0.870
Ga2 Ga 0.500 0.500 0.500
Pd1 Pd 0.000 0.000 0.000
Pd2 Pd 0.000 0.500 0.659
Pd3 Pd 0.500 0.500 0.000
```

Record 3
Compound: YCdGaPd
Source: Alexandria via LeMat-Bulk
Functional: PBE-GGA
Structure: relaxed

N(E_F) = 0.14 states/eV/atom
E = -71.5 eV for the cell shown

Cell and atoms, written as CIF:
```
data_YCdGaPd
_chemical_formula_sum 'Y4 Cd4 Ga4 Pd4'
_cell_length_a 6.841
_cell_length_b 6.841
_cell_length_c 6.841
_cell_angle_alpha 90.00
_cell_angle_beta 90.00
_cell_angle_gamma 90.00
_symmetry_space_group_name_H-M 'F -4 3 m'
_symmetry_Int_Tables_number 216
_symmetry_space_group_name_Hall 'F -4 2 3'
loop_
_atom_site_label
_atom_site_type_symbol
_atom_site_fract_x
_atom_site_fract_y
_atom_site_fract_z
Y1 Y 0.000 0.000 0.000
Cd1 Cd 0.000 0.000 0.500
Ga1 Ga 0.250 0.250 0.750
Pd1 Pd 0.250 0.250 0.250
```

Record 4
Compound: Y2CdGa4Pd3
Source: Alexandria via LeMat-Bulk
Functional: PBE-GGA
Structure: relaxed

N(E_F) = 0.60 states/eV/atom
E = -48.3 eV for the cell shown

Cell and atoms, written as CIF:
```
data_Y2CdGa4Pd3
_chemical_formula_sum 'Y2 Cd1 Ga4 Pd3'
_cell_length_a 4.206
_cell_length_b 4.206
_cell_length_c 10.971
_cell_angle_alpha 90.00
_cell_angle_beta 90.00
_cell_angle_gamma 90.00
_symmetry_space_group_name_H-M 'P -4 m 2'
_symmetry_Int_Tables_number 115
_symmetry_space_group_name_Hall 'P -4 -2'
loop_
_atom_site_label
_atom_site_type_symbol
_atom_site_fract_x
_atom_site_fract_y
_atom_site_fract_z
Y1 Y 0.000 0.500 0.236
Cd1 Cd 0.000 0.000 0.500
Ga1 Ga 0.000 0.000 0.000
Ga2 Ga 0.000 0.500 0.647
Ga3 Ga 0.500 0.500 0.000
Pd1 Pd 0.000 0.500 0.870
Pd2 Pd 0.500 0.500 0.500
```

Record 5
Compound: ZnCdGaPd
Source: Alexandria via LeMat-Bulk
Functional: PBE-GGA
Structure: relaxed

N(E_F) = 0.46 states/eV/atom
E = -44.1 eV for the cell shown

Cell and atoms, written as CIF:
```
data_ZnCdGaPd
_chemical_formula_sum 'Zn4 Cd4 Ga4 Pd4'
_cell_length_a 6.458
_cell_length_b 6.458
_cell_length_c 6.458
_cell_angle_alpha 90.00
_cell_angle_beta 90.00
_cell_angle_gamma 90.00
_symmetry_space_group_name_H-M 'F -4 3 m'
_symmetry_Int_Tables_number 216
_symmetry_space_group_name_Hall 'F -4 2 3'
loop_
_atom_site_label
_atom_site_type_symbol
_atom_site_fract_x
_atom_site_fract_y
_atom_site_fract_z
Zn1 Zn 0.000 0.000 0.000
Cd1 Cd 0.250 0.250 0.250
Ga1 Ga 0.250 0.250 0.750
Pd1 Pd 0.000 0.000 0.500
```

Record 6
Compound: ZrCdGaPd
Source: Alexandria via LeMat-Bulk
Functional: PBE-GGA
Structure: relaxed

N(E_F) = 0.41 states/eV/atom
E = -77.8 eV for the cell shown

Cell and atoms, written as CIF:
```
data_ZrCdGaPd
_chemical_formula_sum 'Zr4 Cd4 Ga4 Pd4'
_cell_length_a 6.636
_cell_length_b 6.636
_cell_length_c 6.636
_cell_angle_alpha 90.00
_cell_angle_beta 90.00
_cell_angle_gamma 90.00
_symmetry_space_group_name_H-M 'F -4 3 m'
_symmetry_Int_Tables_number 216
_symmetry_space_group_name_Hall 'F -4 2 3'
loop_
_atom_site_label
_atom_site_type_symbol
_atom_site_fract_x
_atom_site_fract_y
_atom_site_fract_z
Zr1 Zr 0.000 0.000 0.000
Cd1 Cd 0.000 0.000 0.500
Ga1 Ga 0.250 0.250 0.250
Pd1 Pd 0.250 0.250 0.750
```

Q: Which value of N(E_F) does entry 6 give?
A: 0.41 states/eV/atom